# 1
VASP calculation (PBE-GGA) on a relaxed Lu2SnBi crystal.

Structure (POSCAR):
```
Lu2SnBi
1.0
-3.743 -0.157 1.952
-0.301 -1.693 3.858
-0.022 6.193 5.028
Lu Sn Bi
2 1 1
Cartesian
-1.016 1.085 2.709 Lu
-3.049 3.258 8.129 Lu
0.000 0.000 0.000 Sn
-2.032 2.171 5.419 Bi
```

Results
Distance to the lowest polymorph of the same formula in kJ/mol of atoms: 0.0

***

# 2
VASP calculation (PBE-GGA) on a relaxed EuInSn crystal.

Structure (POSCAR):
```
EuInSn
1.0
-1.772 -2.844 3.978
-0.378 -5.167 -0.462
3.248 -3.091 2.637
Sn In Eu
1 1 1
Cartesian
0.274 -2.776 1.538 Sn
0.000 0.000 0.000 In
0.549 -5.551 3.077 Eu
```

Results
Distance to the lowest polymorph of the same formula in kJ/mol of atoms: 13.5

***

# 3
VASP calculation (PBE-GGA) on a relaxed Y3Os5 crystal.

Structure (POSCAR):
```
Y3Os5
1.0
-1.446 1.072 -5.492
-4.684 -1.985 2.743
-1.158 4.319 1.148
Y Os
3 5
Cartesian
-4.438 0.953 1.219 Y
-3.065 -0.457 -1.375 Y
-2.850 2.452 -2.820 Y
-1.905 1.962 -0.021 Os
-0.723 0.536 -2.746 Os
-2.342 -0.993 1.372 Os
-5.384 1.444 -1.581 Os
0.000 0.000 0.000 Os
```

Results
Distance to the lowest polymorph of the same formula in kJ/mol of atoms: 7.3

***

# 4
VASP calculation (PBE-GGA) on a relaxed ZrCuSn2 crystal.

Structure (POSCAR):
```
ZrCuSn2
1.0
-6.297 3.551 -2.200
-4.080 -6.082 1.861
-5.549 -0.165 2.637
Zr Sn Cu
2 4 2
Cartesian
-8.517 1.060 0.133 Zr
0.000 0.000 0.000 Zr
-13.055 -2.061 1.595 Sn
-5.545 1.255 -0.383 Sn
-5.013 -3.237 1.446 Sn
-8.240 -1.352 1.935 Sn
-5.189 -1.266 -0.170 Cu
-7.409 -3.757 2.164 Cu
```

Results
Total DFT energy (no corrections) in eV per atom: -5.203